[1]
A relaxed structure of Mo4AsPN2. Source: the Open Quantum Materials Database, functional PBE.

Cell lengths 3.0226, 3.0226, 12.7599 Å; angles 90.00, 90.00, 120.00 degrees
Space group P-6m2 (No. 187)
Symmetry-distinct sites (fractional):
Mo (0.0000, 0.0000, 0.1382) x2
Mo (0.3333, 0.6667, 0.3452) x2
As (0.0000, 0.0000, 0.5000) x1
P (0.3333, 0.6667, 0.0000) x1
N (0.6667, 0.3333, 0.2445) x2

Calculated values
The value obtained for the theoretical density is 8514 kg/m3.

---

[2]
A relaxed structure of Mo4AsPbN2. Source: the Open Quantum Materials Database, functional PBE.

Cell lengths 3.3264, 3.3264, 12.3359 Å; angles 90.00, 90.00, 120.00 degrees
Space group P-6m2 (No. 187)
Symmetry-distinct sites (fractional):
Mo (0.0000, 0.0000, 0.1451) x2
Mo (0.6667, 0.3333, 0.3036) x2
As (0.6667, 0.3333, 0.0000) x1
Pb (0.0000, 0.0000, 0.5000) x1
N (0.3333, 0.6667, 0.2472) x2

Calculated values
The value obtained for the theoretical density is 9748 kg/m3.

---

[3]
A relaxed structure of SbMo4AsN2. Source: the Open Quantum Materials Database, functional PBE.

Cell lengths 3.3280, 3.3280, 12.0006 Å; angles 90.00, 90.00, 120.00 degrees
Space group P-6m2 (No. 187)
Symmetry-distinct sites (fractional):
Sb (0.0000, 0.0000, 0.0000) x1
Mo (0.0000, 0.0000, 0.3456) x2
Mo (0.3333, 0.6667, 0.1850) x2
As (0.3333, 0.6667, 0.5000) x1
N (0.6667, 0.3333, 0.2540) x2

Calculated values
The value obtained for the theoretical density is 8778 kg/m3.

---

[4]
A relaxed structure of Sc2Mo4As3N3. Source: the Open Quantum Materials Database, functional PBE.

Cell lengths 9.788, 5.712, 12.291 Å; angles 90.00, 105.11, 90.00 degrees
Space group C2/c (No. 15)
Symmetry-distinct sites (fractional):
Sc (0.053, 0.085, 0.398) x8
Mo (0.112, 0.431, 0.585) x8
Mo (0.214, 0.412, 0.915) x8
As (0.000, 0.437, 0.250) x4
As (0.178, 0.100, 0.748) x8
N (0.079, 0.237, 0.000) x8
N (0.250, 0.250, 0.500) x4

Calculated values
The value obtained for the theoretical density is 7413 kg/m3.

---

[5]
A relaxed structure of Sc4Mo2As3N3. Source: the Open Quantum Materials Database, functional PBE.

Cell lengths 9.905, 5.768, 12.502 Å; angles 90.00, 105.20, 90.00 degrees
Space group C2/c (No. 15)
Symmetry-distinct sites (fractional):
Sc (0.117, 0.087, 0.099) x8
Sc (0.218, 0.081, 0.401) x8
Mo (0.048, 0.423, 0.915) x8
As (0.000, 0.109, 0.750) x4
As (0.154, 0.429, 0.250) x8
N (0.087, 0.239, 0.500) x8
N (0.250, 0.250, 0.000) x4

Calculated values
The value obtained for the theoretical density is 6153 kg/m3.

---

[6]
A relaxed structure of SnMo4AsN2. Source: the Open Quantum Materials Database, functional PBE.

Cell lengths 3.3039, 3.3039, 12.1846 Å; angles 90.00, 90.00, 120.00 degrees
Space group P-6m2 (No. 187)
Symmetry-distinct sites (fractional):
Sn (0.0000, 0.0000, 0.0000) x1
Mo (0.0000, 0.0000, 0.3484) x2
Mo (0.6667, 0.3333, 0.1879) x2
As (0.6667, 0.3333, 0.5000) x1
N (0.3333, 0.6667, 0.2537) x2

Calculated values
The value obtained for the theoretical density is 8728 kg/m3.

---

[7]
A relaxed structure of Ta4Mo2As3N3. Source: the Open Quantum Materials Database, functional PBE.

Cell lengths 9.894, 5.719, 12.321 Å; angles 90.00, 104.56, 90.00 degrees
Space group C2/c (No. 15)
Symmetry-distinct sites (fractional):
Ta (0.111, 0.112, 0.091) x8
Ta (0.235, 0.066, 0.410) x8
Mo (0.032, 0.433, 0.902) x8
As (0.000, 0.090, 0.750) x4
As (0.169, 0.415, 0.257) x8
N (0.090, 0.233, 0.499) x8
N (0.250, 0.250, 0.000) x4

Calculated values
The value obtained for the theoretical density is 11638 kg/m3.

---

[8]
A relaxed structure of Ta2Mo4As3N3. Source: the Open Quantum Materials Database, functional PBE.

Cell lengths 9.778, 5.663, 12.401 Å; angles 90.00, 104.74, 90.00 degrees
Space group C2/c (No. 15)
Symmetry-distinct sites (fractional):
Ta (0.072, 0.094, 0.412) x8
Mo (0.117, 0.456, 0.592) x8
Mo (0.200, 0.399, 0.906) x8
As (0.000, 0.418, 0.250) x4
As (0.170, 0.088, 0.747) x8
N (0.074, 0.229, 0.999) x8
N (0.250, 0.250, 0.500) x4

Calculated values
The value obtained for the theoretical density is 10125 kg/m3.

---

Total energy readings, ordered: -70.91, -68.26, -69.04, -102.64, -98.95, -69.16, -113.32, -109.27 eV per formula unit